(1)
The following is a DFT calculation (PBE) of a geometry-optimized PRh3W structure.

## Properties
Total magnetic moment: 0.756 μB per atom
Volume: 16.49 A^3/atom
Polymorph energy (0 for the lowest one): 0.0 meV per atom
Calculated formation energy: 2.75 eV per formula unit

abc: 4.352 4.352 4.352
angles: 90.00 90.00 90.00
Sites, in units of the cell vectors:
P1 0.000 0.000 0.000
Rh1 0.000 0.000 0.500
Rh2 0.000 0.500 0.000
Rh3 0.500 0.000 0.000
W1 0.500 0.500 0.500

(2)
The following is a DFT calculation (PBE) of a geometry-optimized P2RhW structure.

## Properties
Total magnetic moment: 0.000 μB per atom
Volume: 14.47 A^3/atom
Calculated formation energy: 1.63 eV per formula unit

abc: 4.342 4.342 4.342
angles: 60.00 60.00 60.00
Sites, in units of the cell vectors:
P1 0.000 0.000 0.000
P2 0.250 0.250 0.250
Rh1 0.750 0.750 0.750
W1 0.500 0.500 0.500

In the order shown, the computed calculated total energy values come out to -7.5327, -7.3738 eV/atom.